Entry one
The following is a DFT calculation (PBE+U) of a relaxed NiBi2BrF crystal.

Computed properties:
**V**: 122.4 Å³/cell
**ρ**: 7.8 g/cm3

abc: 4.803 5.308 4.803
angles: 90.00 90.00 90.00
Atoms (fractional coordinates):
Ni 0.500 0.500 0.500
Bi 0.000 0.000 0.500
Bi 0.500 0.000 0.000
Br 0.000 0.500 0.000
F 0.000 0.000 0.000

Entry two
The following is a DFT calculation (PBE+U) of a relaxed NiBi2BrF crystal.

Computed properties:
**V**: 123.7 Å³/cell
**ρ**: 7.7 g/cm3

abc: 5.022 4.906 5.022
angles: 90.00 90.00 90.00
Atoms (fractional coordinates):
Ni 0.000 0.000 0.000
Bi 0.000 0.000 0.500
Bi 0.500 0.000 0.000
Br 0.000 0.500 0.000
F 0.500 0.500 0.500

Entry three
The following is a DFT calculation (PBE+U) of a relaxed NiBi2BrF crystal.

Computed properties:
**V**: 121.8 Å³/cell
**ρ**: 7.8 g/cm3

abc: 5.676 5.676 3.781
angles: 90.00 90.00 90.00
Each line ends with the local moment (μB).
Atoms (fractional coordinates):
Ni 0.000 0.000 0.500  0.96
Bi 0.000 0.500 0.000  0.01
Bi 0.500 0.000 0.000  0.01
Br 0.500 0.500 0.500  -0.01
F 0.000 0.000 0.000  -0.01

Which of them is the most stable, and which is the least stable? entry three and entry one, in that order.